Entry 1:
Density functional theory data (PBE) for crystalline Te2HRhAu at its relaxed geometry. Values from VASP.

Structure (Quantum ESPRESSO input):
```
&SYSTEM
  ibrav = 0, nat = 5, ntyp = 4
/
ATOMIC_SPECIES
Te 127.60 Te.upf
H 1.01 H.upf
Rh 102.91 Rh.upf
Au 196.97 Au.upf
CELL_PARAMETERS angstrom
4.182 0.000 0.000
0.000 1.592 7.576
0.000 -1.592 7.576
ATOMIC_POSITIONS crystal
Te 0.000 0.000 0.000
Te 0.500 0.199 0.199
H 0.000 0.762 0.762
Rh 0.000 0.305 0.305
Au 0.500 0.889 0.889
```

Calculated values
- space group = Amm2
- distance to the lowest polymorph of the same formula (eV per atom) = 0.074
- total magnetic moment (μB/f.u.) = 0.00
- VASP energy (eV/atom) = -4.1072


Entry 2:
Density functional theory data (PBE) for crystalline Te2HRhAu at its relaxed geometry. Values from VASP.

Structure (Quantum ESPRESSO input):
```
&SYSTEM
  ibrav = 0, nat = 5, ntyp = 4
/
ATOMIC_SPECIES
Te 127.60 Te.upf
H 1.01 H.upf
Rh 102.91 Rh.upf
Au 196.97 Au.upf
CELL_PARAMETERS angstrom
4.260 -1.962 0.000
4.260 1.962 0.000
-3.985 0.000 6.510
ATOMIC_POSITIONS crystal
Te 0.000 0.000 0.000
Te 0.545 0.545 0.563
H 0.350 0.350 0.711
Rh 0.242 0.242 0.833
Au 0.178 0.178 0.407
```

Calculated values
- space group = Cm
- distance to the lowest polymorph of the same formula (eV per atom) = 0.072
- total magnetic moment (μB/f.u.) = 0.00
- VASP energy (eV/atom) = -4.1086


Entry 3:
Density functional theory data (PBE) for crystalline Te2HRhAu at its relaxed geometry. Values from VASP.

Structure (Quantum ESPRESSO input):
```
&SYSTEM
  ibrav = 0, nat = 5, ntyp = 4
/
ATOMIC_SPECIES
Te 127.60 Te.upf
H 1.01 H.upf
Rh 102.91 Rh.upf
Au 196.97 Au.upf
CELL_PARAMETERS angstrom
4.149 0.000 0.000
-2.065 4.279 0.000
-0.007 -0.012 5.605
ATOMIC_POSITIONS crystal
Te 0.000 0.000 0.000
Te 0.286 0.572 0.418
H 0.554 0.102 0.566
Rh 0.589 0.178 0.272
Au 0.708 0.418 0.789
```

Calculated values
- space group = P1
- distance to the lowest polymorph of the same formula (eV per atom) = 0.081
- total magnetic moment (μB/f.u.) = 0.00
- VASP energy (eV/atom) = -4.0999